1.
A relaxed SmGaHRh2 crystal. Source: the Alexandria database, functional GGA-PBE.

Calculated values
Its total moment is 0.00 Bohr magnetons per cell. The total energy comes out at -5.83 eV per atom.

Cell: 3.757 11.144 7.336 Å, 90.00 90.00 90.00°
Space group Cmcm (No. 63)
Asymmetric unit:
Sm 0.000 0.047 0.250 [4 per cell]
Ga 0.000 0.230 0.750 [4 per cell]
H 0.000 0.500 0.000 [4 per cell]
Rh 0.000 0.348 0.050 [8 per cell]


2.
A relaxed Mg2CdAg8 crystal. Source: the Alexandria database, functional GGA-PBE.

Calculated values
The value obtained for the formation enthalpy at 0 K is -0.070 eV per atom. The value obtained for the distance to the lowest polymorph of the same formula is 0.0 meV/atom. Its total moment is 0.00 Bohr magnetons per cell. The total energy comes out at -2.52 eV per atom.

Cell: 13.628 7.161 4.518 Å, 90.00 109.28 90.00°
Space group C2 (No. 5)
Asymmetric unit:
Mg 0.148 0.000 0.147 [4 per cell]
Cd 0.000 0.410 0.500 [2 per cell]
Ag 0.000 0.001 0.500 [2 per cell]
Ag 0.000 0.717 0.000 [2 per cell]
Ag 0.151 0.428 0.151 [4 per cell]
Ag 0.155 0.712 0.656 [4 per cell]
Ag 0.197 0.211 0.697 [4 per cell]


3.
A relaxed Ac3AlIn3 crystal. Source: the Alexandria database, functional GGA-PBE.

Calculated values
The value obtained for the formation enthalpy at 0 K is -0.428 eV per atom. Its total moment is 0.00 Bohr magnetons per cell. The total energy comes out at -3.90 eV per atom.

Cell: 12.363 4.878 16.151 Å, 90.00 109.31 90.00°
Space group C2/m (No. 12)
Asymmetric unit:
Ac 0.021 0.000 0.385 [4 per cell]
Ac 0.107 0.000 0.923 [4 per cell]
Ac 0.240 0.000 0.231 [4 per cell]
Al 0.228 0.500 0.385 [4 per cell]
In 0.025 0.500 0.234 [4 per cell]
In 0.108 0.500 0.077 [4 per cell]
In 0.155 0.500 0.541 [4 per cell]


4.
A relaxed PaH2Br5 crystal. Source: the Alexandria database, functional GGA-PBE.

Calculated values
The value obtained for the distance to the lowest polymorph of the same formula is 182.2 meV/atom. Its total moment is 4.00 Bohr magnetons per cell. The total energy comes out at -3.54 eV per atom.

Cell: 5.758 15.902 8.455 Å, 90.00 109.88 90.00°
Space group Cm (No. 8)
Asymmetric unit:
Pa 0.000 0.000 0.000 [2 per cell]
H 0.005 0.251 0.500 [4 per cell]
Br 0.000 0.500 0.000 [2 per cell]
Br 0.001 0.167 0.000 [4 per cell]
Br 0.167 0.000 0.335 [2 per cell]
Br 0.333 0.500 0.665 [2 per cell]


5.
A relaxed TaVH4 crystal. Source: the Alexandria database, functional GGA-PBE.

Calculated values
The value obtained for the distance to the lowest polymorph of the same formula is 10.9 meV/atom. Its total moment is 0.00 Bohr magnetons per cell. The total energy comes out at -5.91 eV per atom.

Cell: 3.0963 3.0963 15.1859 Å, 90.00 90.00 120.00°
Space group R-3m (No. 166, hexagonal axes)
Asymmetric unit:
Ta 0.0000 0.0000 0.0000 [3 per cell]
V 0.0000 0.0000 0.5000 [3 per cell]
H 0.0000 0.0000 0.1296 [6 per cell]
H 0.0000 0.0000 0.3807 [6 per cell]


6.
A relaxed CaSm2Cd3 crystal. Source: the Alexandria database, functional GGA-PBE.

Calculated values
The value obtained for the formation enthalpy at 0 K is -0.345 eV per atom. The value obtained for the distance to the lowest polymorph of the same formula is 0.0 meV/atom. Its total moment is 0.00 Bohr magnetons per cell. The total energy comes out at -2.71 eV per atom.

Cell: 5.4018 5.4018 13.2010 Å, 90.00 90.00 120.00°
Space group P-3m1 (No. 164)
Asymmetric unit:
Ca 0.3333 0.6667 0.1672 [2 per cell]
Sm 0.0000 0.0000 0.0000 [1 per cell]
Sm 0.0000 0.0000 0.5000 [1 per cell]
Sm 0.3333 0.6667 0.6685 [2 per cell]
Cd 0.0000 0.0000 0.2501 [2 per cell]
Cd 0.3333 0.6667 0.4184 [2 per cell]
Cd 0.3333 0.6667 0.9173 [2 per cell]


Please write out number 3 again, unchanged.
A relaxed Ac3AlIn3 crystal. Source: the Alexandria database, functional GGA-PBE.

Calculated values
The value obtained for the formation enthalpy at 0 K is -0.428 eV per atom. Its total moment is 0.00 Bohr magnetons per cell. The total energy comes out at -3.90 eV per atom.

Cell: 12.363 4.878 16.151 Å, 90.00 109.31 90.00°
Space group C2/m (No. 12)
Asymmetric unit:
Ac 0.021 0.000 0.385 [4 per cell]
Ac 0.107 0.000 0.923 [4 per cell]
Ac 0.240 0.000 0.231 [4 per cell]
Al 0.228 0.500 0.385 [4 per cell]
In 0.025 0.500 0.234 [4 per cell]
In 0.108 0.500 0.077 [4 per cell]
In 0.155 0.500 0.541 [4 per cell]